Compound: InRe2As
Source: Alexandria via LeMat-Bulk
Functional: GGA-PBE
Structure: optimized geometry

a b c (Å): 4.1362 4.1362 9.5471
angles (deg): 77.49 77.49 90.00
Last column: nearest neighbours and their distance in Å.
Sites, in units of the cell vectors:
In (0.7500, 0.2500, 0.5000)  4 Re 2.86, 4 As 2.92
In (0.0000, 0.0000, 0.0000)  4 Re 2.86, 4 As 2.92
Re (0.3750, 0.4622, 0.7500)  2 Re 2.47, 2 As 2.59
Re (0.5378, 0.1250, 0.2500)  2 Re 2.47, 2 As 2.59
Re (0.2122, 0.6250, 0.2500)  2 Re 2.47, 2 As 2.59
Re (0.8750, 0.7878, 0.7500)  2 Re 2.47, 2 As 2.59
As (0.5000, 0.5000, 0.0000)  4 Re 2.59
As (0.2500, 0.7500, 0.5000)  4 Re 2.59

Calculated values
* polymorph energy (0 for the lowest one): 544 meV per atom
* formation enthalpy at 0 K: 280 kJ/mol of formula units
* E_tot: -7.3454 eV per atom
* V: 19.43 A^3/atom